[1]
KLi2In | SCAN | single point on PBEsol structure

Calculated values
Energy of formation from the pure elements ... -103 meV/atom
Calculated density ... 2.5 g/cm3
Symmetry ... C2/m
DOS(E_F) ... 1.64 states/eV per cell
Total magnetic moment ... 0.00 Bohr magnetons per cell

Cell lengths 3.4936, 5.2990, 6.5999 Å; angles 99.71, 90.00, 109.25 degrees
Positions (direct):
In: 0.0000 0.0000 0.5000
K: 0.5000 0.0000 0.0000
Li: 0.7239 0.4478 0.6445
Li: 0.2761 0.5522 0.3555


[2]
Er5Ir3 | SCAN | single point on PBEsol structure

Calculated values
Energy of formation from the pure elements ... -1056 meV/atom
Calculated density ... 13.4 g/cm3
Symmetry ... P4/ncc
DOS(E_F) ... 16.03 states/eV per cell
Total magnetic moment ... 0.00 Bohr magnetons per cell

Cell lengths 6.2016, 10.6358, 10.6358 Å; angles 90.00, 90.00, 90.00 degrees
Positions (direct):
Er: 0.3760 0.2909 0.0872
Er: 0.8760 0.2909 0.9128
Er: 0.8760 0.7091 0.0872
Er: 0.3760 0.7091 0.9128
Er: 0.8760 0.5872 0.7909
Er: 0.3760 0.5872 0.2091
Er: 0.3760 0.4128 0.7909
Er: 0.8760 0.4128 0.2091
Er: 0.6240 0.2091 0.4128
Er: 0.1240 0.2091 0.5872
Er: 0.1240 0.7909 0.4128
Er: 0.6240 0.7909 0.5872
Er: 0.1240 0.9128 0.7091
Er: 0.6240 0.9128 0.2909
Er: 0.6240 0.0872 0.7091
Er: 0.1240 0.0872 0.2909
Er: 0.5000 0.0000 0.0000
Er: 0.0000 0.0000 0.0000
Er: 0.0000 0.5000 0.5000
Er: 0.5000 0.5000 0.5000
Ir: 0.2500 0.8460 0.1540
Ir: 0.7500 0.8460 0.8460
Ir: 0.7500 0.1540 0.1540
Ir: 0.2500 0.1540 0.8460
Ir: 0.7500 0.6540 0.3460
Ir: 0.2500 0.6540 0.6540
Ir: 0.2500 0.3460 0.3460
Ir: 0.7500 0.3460 0.6540
Ir: 0.1235 0.5000 0.0000
Ir: 0.6235 0.5000 0.0000
Ir: 0.8765 0.0000 0.5000
Ir: 0.3765 0.0000 0.5000


[3]
Cr3C | SCAN | single point on PBEsol structure

Calculated values
Excess energy over the best structure of this formula in the dataset ... 436 meV/atom
Energy of formation from the pure elements ... 383 meV/atom
Calculated density ... 7.1 g/cm3
Symmetry ... Immm
DOS(E_F) ... 3.04 states/eV per cell
Total magnetic moment ... 0.00 Bohr magnetons per cell

Cell lengths 2.6938, 4.0919, 4.3302 Å; angles 118.20, 108.12, 90.00 degrees
Positions (direct):
Cr: 0.6932 0.6932 0.3865
Cr: 0.3068 0.3068 0.6135
Cr: 0.5000 0.0000 0.0000
C: 0.0000 0.5000 0.0000


[4]
B3PBr | SCAN | single point on PBEsol structure

Calculated values
Calculated density ... 3.5 g/cm3
Uncorrected formation energy ... 2.786 eV per atom
Symmetry ... Pm-3m
DOS(E_F) ... 2.56 states/eV per cell
Total magnetic moment ... 0.00 Bohr magnetons per cell

Cell lengths 4.0758, 4.0758, 4.0758 Å; angles 90.00, 90.00, 90.00 degrees
Positions (direct):
P: 0.5000 0.5000 0.5000
B: 0.0000 0.5000 0.0000
B: 0.0000 0.0000 0.5000
B: 0.5000 0.0000 0.0000
Br: 0.0000 0.0000 0.0000


[5]
La2Os3 | SCAN | single point on PBEsol structure

Calculated values
Energy of formation from the pure elements ... -196 meV/atom
Calculated density ... 12.7 g/cm3
Symmetry ... Fdd2
DOS(E_F) ... 5.13 states/eV per cell
Total magnetic moment ... 0.00 Bohr magnetons per cell

Cell lengths 5.6589, 5.8162, 8.2047 Å; angles 99.66, 110.17, 60.89 degrees
Positions (direct):
La: 0.8205 0.6683 0.0908
La: 0.3980 0.3317 0.9092
La: 0.9797 0.1683 0.4092
La: 0.7388 0.8317 0.5908
Os: 0.3635 0.1837 0.2563
Os: 0.2909 0.8163 0.7437
Os: 0.3572 0.6837 0.2437
Os: 0.7972 0.3163 0.7563
Os: 0.1272 0.0000 0.0000
Os: 0.3772 0.5000 0.5000


[6]
Y3I7O | SCAN | single point on PBEsol structure

Calculated values
Calculated density ... 4.7 g/cm3
Uncorrected formation energy ... -1.880 eV per atom
Symmetry ... P6_3mc
DOS(E_F) ... 0.00 states/eV per cell
Total magnetic moment ... 0.00 Bohr magnetons per cell

Cell lengths 8.2007, 8.2007, 14.3343 Å; angles 90.00, 90.00, 120.00 degrees
Positions (direct):
Y: 0.1476 0.8524 0.7411
Y: 0.7048 0.8524 0.7411
Y: 0.8524 0.7048 0.2411
Y: 0.1476 0.2952 0.7411
Y: 0.2952 0.1476 0.2411
Y: 0.8524 0.1476 0.2411
I: 0.1731 0.8269 0.3744
I: 0.4980 0.9960 0.1234
I: 0.3333 0.6667 0.8628
I: 0.6538 0.8269 0.3744
I: 0.0040 0.5020 0.1234
I: 0.4980 0.5020 0.1234
I: 0.1731 0.3462 0.3744
I: 0.8269 0.6538 0.8744
I: 0.5020 0.4980 0.6234
I: 0.9960 0.4980 0.6234
I: 0.6667 0.3333 0.3628
I: 0.3462 0.1731 0.8744
I: 0.5020 0.0040 0.6234
I: 0.8269 0.1731 0.8744
O: 0.0000 0.0000 0.2034
O: 0.0000 0.0000 0.7034